The following is a PBEsol calculation of FeTc2Br after structural relaxation, from Alexandria.

Summary:
- Total energy: -31.57 eV per cell
- Space-group type: Pm
- Offset from the most stable computed form: 0.000 eV per atom
- Formation energy without anion corrections: 449.4 meV per atom
- Crystal system: monoclinic
- D(E_F): 5.0 states/eV/cell

Unit cell a=2.9643 b=3.0099 c=7.2444 alpha=90.11 beta=90.00 gamma=90.00
Fractional positions:
Br 0.0000 0.5058 0.5045
Fe 0.5000 0.4963 0.7866
Tc 0.0000 0.9986 0.0088
Tc 0.5000 0.4993 0.2001